A geometry-optimized Sm2DySn structure, computed with GGA-PBE.

Cell: 13.651 13.651 5.590 Å, 90.00 90.00 165.49°
Fractional coordinates of all 8 atoms:
Sm  0.095  0.905  0.750
Sm  0.189  0.811  0.250
Sm  0.811  0.189  0.750
Sm  0.905  0.095  0.250
Dy  0.028  0.972  0.250
Dy  0.972  0.028  0.750
Sn  0.304  0.696  0.250
Sn  0.696  0.304  0.750

Calculated values
final energy: -4.56 eV per atom